(1)
Below is a geometry-optimized Ca2HoZn9 structure, with properties calculated at the PBE level.

Geometry as POSCAR:
```
Ca2HoZn9
1.0
2.734 1.578 8.621
-2.734 1.578 8.621
0.000 -3.156 8.621
Ca Ho Zn
2 1 9
direct
0.142 0.142 0.142
0.858 0.858 0.858
0.000 0.000 0.000
0.076 0.584 0.584
0.335 0.335 0.335
0.416 0.416 0.924
0.416 0.924 0.416
0.500 0.500 0.500
0.584 0.076 0.584
0.584 0.584 0.076
0.665 0.665 0.665
0.924 0.416 0.416
```

Summary:
- DFT formation energy: -257.2 meV per atom
- Volume: 223.17 Å³/f.u.
- Crystal system: trigonal



(2)
Below is a geometry-optimized CaHo3Zn2 structure, with properties calculated at the PBE level.

Geometry as POSCAR:
```
CaHo3Zn2
1.0
5.019 0.000 0.000
0.000 9.094 0.000
0.000 0.000 6.888
Ca Ho Zn
2 6 4
direct
0.000 0.059 0.000
0.000 0.941 0.500
0.000 0.329 0.640
0.000 0.671 0.140
0.500 0.176 0.323
0.500 0.442 0.965
0.500 0.558 0.465
0.500 0.824 0.823
0.000 0.355 0.217
0.000 0.645 0.717
0.500 0.154 0.746
0.500 0.846 0.246
```

Summary:
- DFT formation energy: -186.9 meV per atom
- Volume: 157.21 Å³/f.u.
- Crystal system: orthorhombic



(3)
Below is a geometry-optimized CaHo2Zn4 structure, with properties calculated at the PBE level.

Geometry as POSCAR:
```
CaHo2Zn4
1.0
-2.606 2.606 6.145
2.606 -2.606 6.145
2.606 2.606 -6.145
Ca Ho Zn
1 2 4
direct
0.000 0.000 0.000
0.276 0.276 0.000
0.724 0.724 0.000
0.115 0.615 0.500
0.385 0.885 0.500
0.615 0.115 0.500
0.885 0.385 0.500
```

Summary:
- DFT formation energy: -75.1 meV per atom
- Volume: 166.87 Å³/f.u.
- Crystal system: tetragonal



(4)
Below is a geometry-optimized CaHo3Zn4 structure, with properties calculated at the PBE level.

Geometry as POSCAR:
```
CaHo3Zn4
1.0
5.050 0.000 0.000
0.000 5.050 0.000
0.000 0.000 7.174
Ca Ho Zn
1 3 4
direct
0.000 0.000 0.000
0.000 0.000 0.500
0.500 0.500 0.000
0.500 0.500 0.500
0.000 0.500 0.257
0.000 0.500 0.743
0.500 0.000 0.257
0.500 0.000 0.743
```

Summary:
- DFT formation energy: -319.4 meV per atom
- Volume: 182.97 Å³/f.u.
- Crystal system: tetragonal



(5)
Below is a geometry-optimized CaHo5Zn4 structure, with properties calculated at the PBE level.

Geometry as POSCAR:
```
CaHo5Zn4
1.0
3.583 0.000 0.000
0.000 3.583 0.000
0.000 0.000 19.600
Ca Ho Zn
1 5 4
direct
0.000 0.000 0.000
0.500 0.500 0.145
0.500 0.500 0.321
0.500 0.500 0.500
0.500 0.500 0.679
0.500 0.500 0.855
0.000 0.000 0.230
0.000 0.000 0.410
0.000 0.000 0.590
0.000 0.000 0.770
```

Summary:
- DFT formation energy: -243.8 meV per atom
- Volume: 251.60 Å³/f.u.
- Crystal system: tetragonal



(6)
Below is a geometry-optimized CaHo2Zn structure, with properties calculated at the PBE level.

Geometry as POSCAR:
```
CaHo2Zn
1.0
1.792 1.034 11.120
-1.792 1.034 11.120
0.000 -2.069 11.120
Ca Ho Zn
1 2 1
direct
0.000 0.000 0.000
0.103 0.103 0.103
0.897 0.897 0.897
0.500 0.500 0.500
```

Summary:
- DFT formation energy: 120.6 meV per atom
- Volume: 123.65 Å³/f.u.
- ΔE to the lowest computed polymorph: 227 meV/atom
- Crystal system: trigonal



(7)
Below is a geometry-optimized CaHo2Zn3 structure, with properties calculated at the PBE level.

Geometry as POSCAR:
```
CaHo2Zn3
1.0
3.575 0.000 0.000
0.000 3.575 0.000
0.000 0.000 10.891
Ca Ho Zn
1 2 3
direct
0.000 0.000 0.000
0.000 0.000 0.339
0.000 0.000 0.661
0.500 0.500 0.182
0.500 0.500 0.500
0.500 0.500 0.818
```

Summary:
- DFT formation energy: -316.4 meV per atom
- Volume: 139.15 Å³/f.u.
- Crystal system: tetragonal



(8)
Below is a geometry-optimized Ca3HoZn8 structure, with properties calculated at the PBE level.

Geometry as POSCAR:
```
Ca3HoZn8
1.0
2.764 1.596 9.021
-2.764 1.596 9.021
0.000 -3.192 9.021
Ca Ho Zn
3 1 8
direct
0.000 0.000 0.000
0.126 0.126 0.126
0.626 0.626 0.626
0.501 0.501 0.501
0.062 0.062 0.562
0.062 0.562 0.062
0.066 0.563 0.563
0.313 0.313 0.313
0.562 0.062 0.062
0.563 0.066 0.563
0.563 0.563 0.066
0.813 0.813 0.813
```

Summary:
- DFT formation energy: -268.6 meV per atom
- Volume: 238.79 Å³/f.u.
- Crystal system: trigonal



(9)
Below is a geometry-optimized CaHoZn2 structure, with properties calculated at the PBE level.

Geometry as POSCAR:
```
CaHoZn2
1.0
0.000 3.601 3.601
3.601 0.000 3.601
3.601 3.601 0.000
Ca Ho Zn
1 1 2
direct
0.000 0.000 0.000
0.500 0.500 0.500
0.250 0.250 0.250
0.750 0.750 0.750
```

Summary:
- DFT formation energy: -290.1 meV per atom
- Volume: 93.39 Å³/f.u.
- Crystal system: cubic



(10)
Below is a geometry-optimized Ca2HoZr structure, with properties calculated at the PBE level.

Geometry as POSCAR:
```
Ca2HoZr
1.0
1.694 0.978 12.798
-1.694 0.978 12.798
0.000 -1.956 12.798
Ca Ho Zr
2 1 1
direct
0.085 0.085 0.085
0.915 0.915 0.915
0.500 0.500 0.500
0.000 0.000 0.000
```

Summary:
- DFT formation energy: 456.0 meV per atom
- Volume: 127.24 Å³/f.u.
- Crystal system: trigonal



(11)
Below is a geometry-optimized CaI structure, with properties calculated at the PBE level.

Geometry as POSCAR:
```
CaI
1.0
12.561 0.000 0.000
0.000 12.561 0.000
0.000 0.000 4.372
Ca I
8 8
direct
0.089 0.626 0.000
0.161 0.383 0.500
0.374 0.089 0.000
0.383 0.839 0.500
0.617 0.161 0.500
0.626 0.911 0.000
0.839 0.617 0.500
0.911 0.374 0.000
0.112 0.204 0.000
0.204 0.888 0.000
0.281 0.605 0.500
0.395 0.281 0.500
0.605 0.719 0.500
0.719 0.395 0.500
0.796 0.112 0.000
0.888 0.796 0.000
```

Summary:
- Volume: 86.24 Å³/f.u.
- Crystal system: tetragonal
- E_form (uncorrected): -99.8 kJ per mole of atoms



(12)
Below is a geometry-optimized Ca4I structure, with properties calculated at the PBE level.

Geometry as POSCAR:
```
Ca4I
1.0
6.053 0.000 0.000
0.000 6.053 0.000
0.000 0.000 6.053
Ca I
4 1
direct
0.000 0.000 0.000
0.000 0.500 0.500
0.500 0.000 0.500
0.500 0.500 0.000
0.500 0.500 0.500
```

Summary:
- Volume: 221.77 Å³/f.u.
- Crystal system: cubic
- E_form (uncorrected): -10.6 kJ per mole of atoms



(13)
Below is a geometry-optimized CaI structure, with properties calculated at the PBE level.

Geometry as POSCAR:
```
CaI
1.0
4.250 0.000 0.000
-2.125 3.681 0.000
0.000 0.000 10.537
Ca I
2 2
direct
0.333 0.667 0.000
0.667 0.333 0.500
0.333 0.667 0.303
0.667 0.333 0.803
```

Summary:
- Volume: 82.43 Å³/f.u.
- Crystal system: hexagonal
- E_form (uncorrected): -87.6 kJ per mole of atoms



(14)
Below is a geometry-optimized CaI structure, with properties calculated at the PBE level.

Geometry as POSCAR:
```
CaI
1.0
12.653 0.000 0.000
-6.327 10.958 0.000
0.000 0.000 4.258
Ca I
6 6
direct
0.167 0.504 0.250
0.337 0.833 0.250
0.496 0.663 0.250
0.504 0.337 0.750
0.663 0.167 0.750
0.833 0.496 0.750
0.035 0.670 0.250
0.330 0.365 0.250
0.365 0.035 0.750
0.635 0.965 0.250
0.670 0.635 0.750
0.965 0.330 0.750
```

Summary:
- Volume: 98.39 Å³/f.u.
- Crystal system: hexagonal
- E_form (uncorrected): -96.2 kJ per mole of atoms



(15)
Below is a geometry-optimized CaI structure, with properties calculated at the PBE level.

Geometry as POSCAR:
```
CaI
1.0
-2.031 6.096 4.287
2.031 -6.096 4.287
2.031 6.096 -4.287
Ca I
2 2
direct
0.135 0.250 0.385
0.865 0.750 0.615
0.501 0.982 0.019
0.963 0.482 0.981
```

Summary:
- Volume: 106.15 Å³/f.u.
- Crystal system: orthorhombic
- E_form (uncorrected): -95.5 kJ per mole of atoms



(16)
Below is a geometry-optimized Ca2I3 structure, with properties calculated at the PBE level.

Geometry as POSCAR:
```
Ca2I3
1.0
3.854 2.225 7.686
-3.854 2.225 7.686
0.000 -4.450 7.686
Ca I
4 6
direct
0.163 0.163 0.163
0.337 0.337 0.337
0.663 0.663 0.663
0.837 0.837 0.837
0.069 0.750 0.431
0.250 0.569 0.931
0.431 0.069 0.750
0.569 0.931 0.250
0.750 0.431 0.069
0.931 0.250 0.569
```

Summary:
- Volume: 197.75 Å³/f.u.
- Crystal system: trigonal
- E_form (uncorrected): -123.2 kJ per mole of atoms



(17)
Below is a geometry-optimized CaI structure, with properties calculated at the PBE level.

Geometry as POSCAR:
```
CaI
1.0
-2.074 2.526 3.208
2.074 -2.526 3.208
2.074 2.526 -3.208
Ca I
1 1
direct
0.000 0.000 0.000
0.500 0.500 0.000
```

Summary:
- Volume: 67.22 Å³/f.u.
- Crystal system: orthorhombic
- E_form (uncorrected): -84.6 kJ per mole of atoms



(18)
Below is a geometry-optimized CaI structure, with properties calculated at the PBE level.

Geometry as POSCAR:
```
CaI
1.0
2.625 -7.222 0.000
2.625 7.222 0.000
0.000 0.000 4.084
Ca I
2 2
direct
0.115 0.885 0.750
0.885 0.115 0.250
0.342 0.658 0.750
0.658 0.342 0.250
```

Summary:
- Volume: 77.41 Å³/f.u.
- Crystal system: orthorhombic
- E_form (uncorrected): -95.6 kJ per mole of atoms



(19)
Below is a geometry-optimized CaI structure, with properties calculated at the PBE level.

Geometry as POSCAR:
```
CaI
1.0
3.987 0.000 0.000
0.000 3.987 0.000
0.000 0.000 10.317
Ca I
2 2
direct
0.250 0.250 0.149
0.750 0.750 0.851
0.250 0.250 0.688
0.750 0.750 0.312
```

Summary:
- Volume: 82.02 Å³/f.u.
- Crystal system: tetragonal
- E_form (uncorrected): -103.2 kJ per mole of atoms



(20)
Below is a geometry-optimized CaI structure, with properties calculated at the PBE level.

Geometry as POSCAR:
```
CaI
1.0
0.000 3.606 3.606
3.606 0.000 3.606
3.606 3.606 0.000
Ca I
1 1
direct
0.000 0.000 0.000
0.750 0.750 0.750
```

Summary:
- Volume: 93.81 Å³/f.u.
- Crystal system: cubic
- E_form (uncorrected): -74.1 kJ per mole of atoms